Record 1
Compound: Te2IrRu
Source: the Alexandria database
Functional: PBE-GGA
Structure: relaxed

Structure (POSCAR):
```
Te2IrRu
1.0
0.000 3.388 3.388
3.388 0.000 3.388
3.388 3.388 0.000
Te Ir Ru
2 1 1
Cartesian
0.000 0.000 0.000 Te
1.694 1.694 1.694 Te
3.388 3.388 3.388 Ir
5.082 5.082 5.082 Ru
```

## Properties
Total energy, eV per atom: -5.17
Total magnetization, μB per formula unit: 0.010
D(E_F), states/eV/cell: 5.7



Record 2
Compound: TeIrRu2
Source: the Alexandria database
Functional: PBE-GGA
Structure: relaxed

Structure (POSCAR):
```
TeIrRu2
1.0
-2.845 2.845 5.780
2.845 -2.845 5.780
2.845 2.845 -5.780
Te Ir Ru
2 2 4
Cartesian
0.000 0.000 0.000 Te
0.000 2.845 2.890 Te
2.845 0.000 2.890 Ir
0.000 0.000 5.780 Ir
1.423 -1.261 4.335 Ru
1.585 1.423 1.445 Ru
1.423 4.106 -1.445 Ru
1.261 1.423 7.225 Ru
```

## Properties
Total energy, eV per atom: -6.89
Total magnetization, μB per formula unit: 0.000
D(E_F), states/eV/cell: 12.7



Record 3
Compound: Te2IrRu
Source: the Alexandria database
Functional: PBE-GGA
Structure: relaxed

Structure (POSCAR):
```
Te2IrRu
1.0
0.000 3.354 3.354
3.354 0.000 3.354
3.354 3.354 0.000
Te Ir Ru
2 1 1
Cartesian
1.677 1.677 1.677 Te
5.031 5.031 5.031 Te
0.000 0.000 0.000 Ir
3.354 3.354 3.354 Ru
```

## Properties
Total energy, eV per atom: -5.64
Total magnetization, μB per formula unit: 0.887
D(E_F), states/eV/cell: 5.0



Record 4
Compound: TeIrRu2
Source: the Alexandria database
Functional: PBE-GGA
Structure: relaxed

Structure (POSCAR):
```
TeIrRu2
1.0
0.000 3.195 3.195
3.195 0.000 3.195
3.195 3.195 0.000
Te Ir Ru
1 1 2
Cartesian
0.000 0.000 0.000 Te
4.793 4.793 4.793 Ir
1.598 1.598 1.598 Ru
3.195 3.195 3.195 Ru
```

## Properties
Total energy, eV per atom: -7.04
Total magnetization, μB per formula unit: 2.655
D(E_F), states/eV/cell: 4.8